Entry 1:
Here is an optimized crystal structure of CsLiRe2 from Alexandria via LeMat-Bulk. Energies are from PBE-GGA.

Calculated values
Total energy ... -43.48 eV per cell
E_form ... 1.481 eV/atom
Magnetization ... 0.0 μB/cell
Calculated volume ... 85.67 Å³/f.u.

The structure in extended XYZ format:
```
8
Lattice="-1.949 1.949 11.282 1.949 -1.949 11.282 1.949 1.949 -11.282" Properties=species:S:1:pos:R:3 pbc="T T T"
Cs 0.000 0.000 0.000
Cs 0.000 1.949 5.641
Li 1.949 0.000 5.641
Li 0.000 0.000 11.282
Re 0.974 1.223 -2.820
Re 2.674 0.974 2.820
Re 0.974 0.725 8.461
Re -0.725 0.974 14.102
```


Entry 2:
Here is an optimized crystal structure of Ta2BeRe from Alexandria via LeMat-Bulk. Energies are from PBE-GGA.

Calculated values
Total energy ... -39.08 eV per cell
E_form ... 0.199 eV/atom
Magnetization ... 0.0 μB/cell
Calculated volume ... 61.72 Å³/f.u.

The structure in extended XYZ format:
```
4
Lattice="1.524 0.880 7.667 -1.524 0.880 7.667 0.000 -1.760 7.667" Properties=species:S:1:pos:R:3 pbc="T T T"
Ta 0.000 0.000 5.539
Ta 0.000 0.000 17.463
Be 0.000 0.000 11.501
Re 0.000 0.000 0.000
```